[1]
Compound: Pm5ZnPb3
Source: OQMD
Functional: PBE
Structure: optimized geometry

Values from the calculation:
E: -0.3343 Ry per atom
Volume: 534 Å³/cell

Lattice parameters (Å, degrees): 9.5564 9.5564 6.7543 90.00 90.00 120.00
Atoms (fractional coordinates):
Pm  0.0000  0.2663  0.2500
Pm  0.0000  0.7337  0.7500
Pm  0.2663  0.0000  0.2500
Pm  0.2663  0.2663  0.7500
Pm  0.3333  0.6667  0.0000
Pm  0.3333  0.6667  0.5000
Pm  0.6667  0.3333  0.0000
Pm  0.6667  0.3333  0.5000
Pm  0.7337  0.0000  0.7500
Pm  0.7337  0.7337  0.2500
Zn  0.0000  0.0000  0.0000
Zn  0.0000  0.0000  0.5000
Pb  0.0000  0.3794  0.7500
Pb  0.0000  0.6206  0.2500
Pb  0.3794  0.0000  0.7500
Pb  0.3794  0.3794  0.2500
Pb  0.6206  0.0000  0.2500
Pb  0.6206  0.6206  0.7500

***

[2]
Compound: PrGd2In3CuPt2
Source: OQMD
Functional: PBE
Structure: optimized geometry

Values from the calculation:
E: -0.3710 Ry per atom
Volume: 203 Å³/cell

Lattice parameters (Å, degrees): 3.9338 7.7286 7.7286 120.24 90.00 90.00
Atoms (fractional coordinates):
Pr  0.0000  0.0000  0.0000
Gd  0.0000  0.4129  0.8264
Gd  0.0000  0.8264  0.4129
In  0.5000  0.1652  0.4157
In  0.5000  0.4157  0.1652
In  0.5000  0.6599  0.6599
Cu  0.0000  0.4155  0.4155
Pt  0.5000  0.0820  0.7417
Pt  0.5000  0.7417  0.0820

***

[3]
Compound: SrCuNiBi
Source: OQMD
Functional: PBE
Structure: optimized geometry

Values from the calculation:
Energy above the most stable polymorph in this dataset: 261.1 meV per atom
E: -0.2575 Ry per atom
Volume: 90 Å³/cell

Lattice parameters (Å, degrees): 5.0331 5.0331 5.0331 60.00 60.00 60.00
Atoms (fractional coordinates):
Sr  0.0000  0.0000  0.0000
Cu  0.5000  0.5000  0.5000
Ni  0.7500  0.7500  0.7500
Bi  0.2500  0.2500  0.2500